Entry 1:
The following is a DFT calculation (GGA-PBE) of a geometry-optimized B2C3 structure.

Summary:
M_tot: 0.0 μB per formula unit
V: 73.1 Å³/cell
E_tot: -78.543 eV/cell
energy relative to the elements: 0.35 eV per atom
excess energy over the best structure of this formula in the dataset: 55 kJ/mol of formula units

Unit cell a=11.927 b=11.927 c=11.927 alpha=12.86 beta=12.86 gamma=12.86
Fractional coordinates of all 10 atoms:
B  0.048  0.048  0.048
B  0.220  0.220  0.220
B  0.780  0.780  0.780
B  0.952  0.952  0.952
C  0.172  0.172  0.172
C  0.386  0.386  0.386
C  0.431  0.431  0.431
C  0.569  0.569  0.569
C  0.614  0.614  0.614
C  0.828  0.828  0.828

***

Entry 2:
The following is a DFT calculation (GGA-PBE) of a geometry-optimized AcCe4 structure.

Summary:
M_tot: 6.1 μB per formula unit
V: 204.3 Å³/cell
E_tot: -22.573 eV/cell
energy relative to the elements: 1.05 eV per atom

Unit cell a=5.890 b=5.890 c=5.890 alpha=90.00 beta=90.00 gamma=90.00
Fractional coordinates of all 5 atoms:
Ac  0.000  0.000  0.000
Ce  0.000  0.000  0.500
Ce  0.000  0.500  0.000
Ce  0.500  0.000  0.000
Ce  0.500  0.500  0.500